# CePrAs2Rh5 PBE-GGA optimized geometry
# * V: 188.4 Å³ per cell
# * calculated formation energy: -0.459 eV per atom
# * total moment: 0.00 μB per formula unit
data_CePrAs2Rh5
_chemical_formula_sum 'Ce1 Pr1 As2 Rh5'
_cell_length_a 4.0766
_cell_length_b 4.0766
_cell_length_c 11.3340
_cell_angle_alpha 90.00
_cell_angle_beta 90.00
_cell_angle_gamma 90.00
_space_group_name_H-M_alt 'P 4/m m m'
_space_group_IT_number 123
_space_group_name_Hall '-P 4 2'
loop_
_atom_site_label
_atom_site_fract_x
_atom_site_fract_y
_atom_site_fract_z
Ce1 0.0000 0.0000 0.0000
Pr1 0.5000 0.5000 0.5000
As1 0.0000 0.0000 0.2900
Rh1 0.0000 0.0000 0.5000
Rh2 0.0000 0.5000 0.1761